Here is an optimized crystal structure of Er10Ga3Te3 from Alexandria via LeMat-Bulk. Energies are from GGA-PBE.

The formation energy (no corrections) is -0.733 eV per atom. Its calculated density is 9.1 g/cm3. The calculation puts the volume at 414.0 Å³/cell. The total magnetization comes out at 0.000 μB/atom.

The structure belongs to space group P-62m (No. 189); the cell edges are 8.7148, 8.7148 and 6.2941 Å and the angles 90.00°, 90.00° and 120.00°. Symmetry generates all atoms from Er at (0.0000, 0.2416, 0.0000), Er at (0.0000, 0.7605, 0.5000), Er at (0.3333, 0.6667, 0.2582), Ga at (0.0000, 0.3911, 0.5000) and Te at (0.0000, 0.6066, 0.0000).